Computed, not measured: crystalline NiAs3F at its relaxed geometry at the PBE with a Hubbard U level of DFT.

Lattice parameters (Å, degrees): 4.532 4.532 4.532 90.00 90.00 90.00
Sites, in units of the cell vectors:
Ni  0.000  0.000  0.000
As  0.000  0.000  0.500
As  0.000  0.500  0.000
As  0.500  0.000  0.000
F  0.500  0.500  0.500

final energy = -3.24 eV per atom
ΔE to the lowest computed polymorph = 0 meV per atom
N(E_F) = 3.3 states/eV per cell
mass density = 5.39 Mg/m³